# 1
This record from the Alexandria database describes BaLiMg2 after structural relaxation. The functional is PBE-GGA.

Lattice parameters (Å, degrees): 3.747 3.747 8.642 90.00 90.00 90.00
Positions (direct):
Ba1 0.000 0.000 0.000
Li1 0.500 0.500 0.312
Mg1 0.000 0.000 0.479
Mg2 0.500 0.500 0.690

Formation energy (meV/atom): 35

# 2
This record from the Alexandria database describes CsAgB2Cl8 after structural relaxation. The functional is PBE-GGA.

Lattice parameters (Å, degrees): 6.224 6.224 9.796 90.00 90.00 120.00
Positions (direct):
Cs1 0.000 0.000 0.000
Ag1 0.000 0.000 0.500
B1 0.333 0.667 0.735
B2 0.667 0.333 0.265
Cl1 0.047 0.384 0.675
Cl2 0.333 0.667 0.926
Cl3 0.336 0.953 0.675
Cl4 0.384 0.336 0.325
Cl5 0.616 0.664 0.675
Cl6 0.664 0.047 0.325
Cl7 0.667 0.333 0.074
Cl8 0.953 0.616 0.325

ΔE_f (raw) (eV per atom): -1.057

# 3
This record from the Alexandria database describes KTlI2N after structural relaxation. The functional is PBE-GGA.

Lattice parameters (Å, degrees): 6.414 6.414 4.485 90.00 90.00 90.00
Positions (direct):
K1 0.000 0.000 0.000
Tl1 0.500 0.500 0.500
I1 0.000 0.500 0.500
I2 0.500 0.000 0.500
N1 0.500 0.500 0.000

ΔE_f (raw) (eV per atom): 0.109

# 4
This record from the Alexandria database describes Mn8Nb3Ru after structural relaxation. The functional is PBE-GGA.

Lattice parameters (Å, degrees): 4.761 4.761 7.850 90.00 90.00 120.00
Positions (direct):
Mn1 0.000 0.000 0.000
Mn2 0.000 0.000 0.500
Mn3 0.172 0.344 0.251
Mn4 0.172 0.828 0.251
Mn5 0.344 0.172 0.757
Mn6 0.656 0.828 0.251
Mn7 0.828 0.172 0.757
Mn8 0.828 0.656 0.757
Nb1 0.333 0.667 0.568
Nb2 0.333 0.667 0.946
Nb3 0.667 0.333 0.438
Ru1 0.667 0.333 0.077

Formation energy (meV/atom): -127

# 5
This record from the Alexandria database describes LaPrNiOs after structural relaxation. The functional is PBE-GGA.

Lattice parameters (Å, degrees): 7.104 7.104 7.104 90.00 90.00 90.00
Positions (direct):
La1 0.000 0.000 0.000
La2 0.000 0.500 0.500
La3 0.500 0.000 0.500
La4 0.500 0.500 0.000
Pr1 0.000 0.000 0.500
Pr2 0.000 0.500 0.000
Pr3 0.500 0.000 0.000
Pr4 0.500 0.500 0.500
Ni1 0.250 0.250 0.750
Ni2 0.250 0.750 0.250
Ni3 0.750 0.250 0.250
Ni4 0.750 0.750 0.750
Os1 0.250 0.250 0.250
Os2 0.250 0.750 0.750
Os3 0.750 0.250 0.750
Os4 0.750 0.750 0.250

Formation energy (meV/atom): -40

# 6
This record from the Alexandria database describes Pr3Be2SiPd9 after structural relaxation. The functional is PBE-GGA.

Lattice parameters (Å, degrees): 5.992 5.992 8.835 90.00 90.00 120.00
Positions (direct):
Pr1 0.000 0.000 0.000
Pr2 0.333 0.667 0.649
Pr3 0.667 0.333 0.351
Be1 0.333 0.667 0.154
Be2 0.667 0.333 0.846
Si1 0.000 0.000 0.500
Pd1 0.000 0.500 0.000
Pd2 0.163 0.327 0.302
Pd3 0.163 0.837 0.302
Pd4 0.327 0.163 0.698
Pd5 0.500 0.000 0.000
Pd6 0.500 0.500 0.000
Pd7 0.673 0.837 0.302
Pd8 0.837 0.163 0.698
Pd9 0.837 0.673 0.698

ΔE_f (raw) (eV per atom): -0.667

# 7
This record from the Alexandria database describes ZrGa2Fe after structural relaxation. The functional is PBE-GGA.

Lattice parameters (Å, degrees): 6.578 3.978 9.835 90.00 90.00 90.00
Positions (direct):
Zr1 0.242 0.250 0.173
Zr2 0.258 0.750 0.673
Zr3 0.742 0.250 0.327
Zr4 0.758 0.750 0.827
Ga1 0.068 0.250 0.832
Ga2 0.224 0.750 0.963
Ga3 0.276 0.250 0.463
Ga4 0.432 0.750 0.332
Ga5 0.568 0.250 0.668
Ga6 0.724 0.750 0.537
Ga7 0.776 0.250 0.037
Ga8 0.932 0.750 0.168
Fe1 0.049 0.750 0.414
Fe2 0.451 0.250 0.914
Fe3 0.549 0.750 0.086
Fe4 0.951 0.250 0.586

Formation energy (meV/atom): -384

# 8
This record from the Alexandria database describes PrErLuIn after structural relaxation. The functional is PBE-GGA.

Lattice parameters (Å, degrees): 7.745 7.745 7.745 90.00 90.00 90.00
Positions (direct):
Pr1 0.000 0.000 0.000
Pr2 0.000 0.500 0.500
Pr3 0.500 0.000 0.500
Pr4 0.500 0.500 0.000
Er1 0.000 0.000 0.500
Er2 0.000 0.500 0.000
Er3 0.500 0.000 0.000
Er4 0.500 0.500 0.500
Lu1 0.250 0.250 0.250
Lu2 0.250 0.750 0.750
Lu3 0.750 0.250 0.750
Lu4 0.750 0.750 0.250
In1 0.250 0.250 0.750
In2 0.250 0.750 0.250
In3 0.750 0.250 0.250
In4 0.750 0.750 0.750

Formation energy (meV/atom): -144